Record 1
The following is a PBE-GGA calculation of a relaxed structure of KPOs2, from the Alexandria database.

abc: 2.863 2.863 8.622
angles: 90.00 90.00 90.00
Fractional positions:
1 K 0.000 0.000 0.000
2 P 0.500 0.500 0.696
3 Os 0.000 0.000 0.530
4 Os 0.500 0.500 0.322

Computed properties:
As for the symmetry: P4mm (99). As for the size of the total moment: 0.0 μB per cell. The total energy is -6.8506 eV per atom. The calculation puts the polymorph energy (0 for the lowest one) at 0.4 meV/atom. For the volume, the calculation gives 17.66 A^3/atom.


Record 2
The following is a PBE-GGA calculation of a relaxed structure of K2POs, from the Alexandria database.

abc: 6.835 3.943 9.860
angles: 90.00 102.63 90.00
Fractional positions:
1 K 0.000 0.000 0.000
2 K 0.170 0.000 0.539
3 K 0.500 0.500 0.000
4 K 0.670 0.500 0.539
5 P 0.251 0.500 0.270
6 P 0.751 0.000 0.270
7 Os 0.418 0.000 0.270
8 Os 0.918 0.500 0.270

Computed properties:
As for the symmetry: Cm (8). As for the size of the total moment: 0.0 μB per cell. The total energy is -4.6863 eV per atom. The calculation puts the polymorph energy (0 for the lowest one) at 0.0 meV/atom. For the volume, the calculation gives 32.41 A^3/atom.


Record 3
The following is a PBE-GGA calculation of a relaxed structure of KPOs2, from the Alexandria database.

abc: 4.469 4.469 6.604
angles: 90.00 90.00 90.00
Fractional positions:
1 K 0.000 0.000 0.000
2 K 0.500 0.500 0.500
3 P 0.000 0.500 0.250
4 P 0.500 0.000 0.750
5 Os 0.000 0.000 0.500
6 Os 0.000 0.500 0.750
7 Os 0.500 0.000 0.250
8 Os 0.500 0.500 0.000

Computed properties:
As for the symmetry: I-4m2 (119). As for the size of the total moment: 0.0 μB per cell. The total energy is -5.8765 eV per atom. The calculation puts the polymorph energy (0 for the lowest one) at 974.5 meV/atom. For the volume, the calculation gives 16.49 A^3/atom.


Record 4
The following is a PBE-GGA calculation of a relaxed structure of KPOs4, from the Alexandria database.

abc: 5.291 5.291 5.291
angles: 60.00 60.00 60.00
Fractional positions:
1 K 0.000 0.000 0.000
2 P 0.250 0.250 0.250
3 Os 0.128 0.624 0.624
4 Os 0.624 0.128 0.624
5 Os 0.624 0.624 0.128
6 Os 0.624 0.624 0.624

Computed properties:
As for the symmetry: F-43m (216). As for the size of the total moment: 0.0 μB per cell. The total energy is -7.2828 eV per atom. For the volume, the calculation gives 17.46 A^3/atom.


Record 5
The following is a PBE-GGA calculation of a relaxed structure of K2POs, from the Alexandria database.

abc: 20.139 3.706 3.106
angles: 90.00 98.62 90.00
Fractional positions:
1 K 0.147 0.000 0.140
2 K 0.353 0.500 0.860
3 K 0.647 0.500 0.140
4 K 0.853 0.000 0.860
5 P 0.000 0.500 0.000
6 P 0.500 0.000 0.000
7 Os 0.000 0.000 0.500
8 Os 0.500 0.500 0.500

Computed properties:
As for the symmetry: C2/m (12). As for the size of the total moment: 0.0 μB per cell. The total energy is -4.3758 eV per atom. The calculation puts the polymorph energy (0 for the lowest one) at 310.5 meV/atom. For the volume, the calculation gives 28.65 A^3/atom.


Record 6
The following is a PBE-GGA calculation of a relaxed structure of KPOs2, from the Alexandria database.

abc: 10.569 2.795 6.379
angles: 90.00 112.31 90.00
Fractional positions:
1 K 0.000 0.000 0.000
2 K 0.500 0.500 0.000
3 P 0.000 0.500 0.500
4 P 0.500 0.000 0.500
5 Os 0.188 0.000 0.602
6 Os 0.312 0.500 0.398
7 Os 0.688 0.500 0.602
8 Os 0.812 0.000 0.398

Computed properties:
As for the symmetry: C2/m (12). As for the size of the total moment: 0.0 μB per cell. The total energy is -6.7336 eV per atom. The calculation puts the polymorph energy (0 for the lowest one) at 117.4 meV/atom. For the volume, the calculation gives 21.79 A^3/atom.